<A>
A plane-wave DFT calculation with PBE was carried out for a geometry-optimized NdCd4Pt2 structure.

Values from the calculation:
Spin magnetization (μB per formula unit): 0.00
Symmetry: P4_2/mnm

abc: 4.1160 8.6911 8.6911
angles: 90.00 90.00 90.00
Fractional coordinates of all 14 atoms:
1 Nd 0.5000 0.0000 0.0000
2 Nd 0.0000 0.5000 0.5000
3 Pt 0.0000 0.8204 0.1796
4 Pt 0.5000 0.3204 0.3204
5 Pt 0.0000 0.1796 0.8204
6 Pt 0.5000 0.6796 0.6796
7 Cd 0.5000 0.5972 0.1608
8 Cd 0.5000 0.1608 0.5972
9 Cd 0.5000 0.8392 0.4028
10 Cd 0.0000 0.6608 0.9028
11 Cd 0.0000 0.3392 0.0972
12 Cd 0.0000 0.0972 0.3392
13 Cd 0.0000 0.9028 0.6608
14 Cd 0.5000 0.4028 0.8392



<B>
A plane-wave DFT calculation with PBE was carried out for a geometry-optimized NdCd4Pt2 structure.

Values from the calculation:
Spin magnetization (μB per formula unit): 0.00
Symmetry: Cmmm

abc: 4.0059 4.3221 9.1867
angles: 103.61 90.00 90.00
Fractional coordinates of all 7 atoms:
1 Cd 0.0000 0.3150 0.6300
2 Cd 0.5000 0.8260 0.6520
3 Cd 0.0000 0.6850 0.3700
4 Cd 0.5000 0.1740 0.3480
5 Pt 0.5000 0.4271 0.8542
6 Pt 0.5000 0.5729 0.1458
7 Nd 0.0000 0.0000 0.0000



Which structure loses on stability? <B> does.



<A>
A plane-wave DFT calculation with PBE was carried out for a geometry-optimized Nd4CdPt structure.

Values from the calculation:
Spin magnetization (μB per formula unit): 0.00
Symmetry: P2_1/c

abc: 7.2653 7.4629 7.4503
angles: 90.00 94.31 90.00
Fractional coordinates of all 12 atoms:
1 Nd 0.8823 0.6454 0.1681
2 Nd 0.1814 0.8366 0.6477
3 Nd 0.6814 0.6634 0.6477
4 Nd 0.8186 0.1634 0.3523
5 Nd 0.3823 0.8546 0.1681
6 Nd 0.3186 0.3366 0.3523
7 Nd 0.6177 0.1454 0.8319
8 Nd 0.1177 0.3546 0.8319
9 Pt 0.0000 0.5000 0.5000
10 Pt 0.5000 0.0000 0.5000
11 Cd 0.5000 0.5000 0.0000
12 Cd 0.0000 0.0000 0.0000



<B>
A plane-wave DFT calculation with PBE was carried out for a geometry-optimized Nd4CdPt structure.

Values from the calculation:
Spin magnetization (μB per formula unit): 0.00
Symmetry: F-43m

abc: 10.0159 10.0159 10.0159
angles: 60.00 60.00 60.00
Fractional coordinates of all 24 atoms:
1 Nd 0.5638 0.5638 0.9362
2 Nd 0.5638 0.9362 0.9362
3 Nd 0.3509 0.3509 0.3509
4 Nd 0.9362 0.9362 0.5638
5 Nd 0.9362 0.5638 0.5638
6 Nd 0.1921 0.8079 0.8079
7 Nd 0.9362 0.5638 0.9362
8 Nd 0.3509 0.3509 0.9474
9 Nd 0.1921 0.1921 0.8079
10 Nd 0.9474 0.3509 0.3509
11 Nd 0.1921 0.8079 0.1921
12 Nd 0.8079 0.8079 0.1921
13 Nd 0.8079 0.1921 0.1921
14 Nd 0.3509 0.9474 0.3509
15 Nd 0.8079 0.1921 0.8079
16 Nd 0.5638 0.9362 0.5638
17 Cd 0.5806 0.2581 0.5806
18 Cd 0.5806 0.5806 0.5806
19 Cd 0.5806 0.5806 0.2581
20 Cd 0.2581 0.5806 0.5806
21 Pt 0.1432 0.1432 0.1432
22 Pt 0.1432 0.5703 0.1432
23 Pt 0.5703 0.1432 0.1432
24 Pt 0.1432 0.1432 0.5703



Which structure loses on stability? <A> does.



<A>
A plane-wave DFT calculation with PBE was carried out for a geometry-optimized NdPuCd structure.

Values from the calculation:
Spin magnetization (μB per formula unit): 0.00
Symmetry: R-3m

abc: 3.9286 3.9286 12.7867
angles: 81.16 81.16 60.00
Fractional coordinates of all 6 atoms:
1 Cd 0.8596 0.8596 0.4213
2 Cd 0.1404 0.1404 0.5787
3 Pu 0.6610 0.6610 0.0169
4 Pu 0.3390 0.3390 0.9831
5 Nd 0.5894 0.5894 0.2318
6 Nd 0.4106 0.4106 0.7682



<B>
A plane-wave DFT calculation with PBE was carried out for a geometry-optimized NdPuCd structure.

Values from the calculation:
Spin magnetization (μB per formula unit): 6.19
Symmetry: I4mm

abc: 3.4880 3.4880 7.5253
angles: 103.40 103.40 90.00
Last column: magnetic moment on the atom in μB.
Fractional coordinates of all 3 atoms:
1 Nd 0.3256 0.3256 0.6513  0.05
2 Cd 0.6653 0.6653 0.3306  0.00
3 Pu 0.0091 0.0091 0.0182  5.61



Which structure loses on stability? <A> does.



<A>
A plane-wave DFT calculation with PBE was carried out for a geometry-optimized Nd2CdRh structure.

Values from the calculation:
Spin magnetization (μB per formula unit): 0.00
Symmetry: R-3m

abc: 4.0389 4.0389 8.5518
angles: 76.34 76.34 60.00
Fractional coordinates of all 4 atoms:
1 Cd 0.5000 0.5000 0.5000
2 Rh 0.0000 0.0000 0.0000
3 Nd 0.2672 0.2672 0.1983
4 Nd 0.7328 0.7328 0.8017



<B>
A plane-wave DFT calculation with PBE was carried out for a geometry-optimized Nd2CdRh structure.

Values from the calculation:
Spin magnetization (μB per formula unit): 0.00
Symmetry: Fm-3m

abc: 5.2241 5.2241 5.2241
angles: 60.00 60.00 60.00
Fractional coordinates of all 4 atoms:
1 Rh 0.0000 0.0000 0.0000
2 Cd 0.5000 0.5000 0.5000
3 Nd 0.7500 0.7500 0.7500
4 Nd 0.2500 0.2500 0.2500



Which structure loses on stability? <B> does.



<A>
A plane-wave DFT calculation with PBE was carried out for a geometry-optimized Nd2CdRh structure.

Values from the calculation:
Spin magnetization (μB per formula unit): 0.00
Symmetry: P4/mmm

abc: 3.6284 3.6284 7.7530
angles: 90.00 90.00 90.00
Fractional coordinates of all 4 atoms:
1 Rh 0.5000 0.5000 0.0000
2 Nd 0.0000 0.0000 0.7820
3 Nd 0.0000 0.0000 0.2180
4 Cd 0.5000 0.5000 0.5000



<B>
A plane-wave DFT calculation with PBE was carried out for a geometry-optimized Nd2CdRh structure.

Values from the calculation:
Spin magnetization (μB per formula unit): 0.00
Symmetry: Cmcm

abc: 3.9649 7.6231 7.4809
angles: 90.00 90.00 105.07
Fractional coordinates of all 8 atoms:
1 Nd 0.3605 0.7211 0.9979
2 Nd 0.3605 0.7211 0.5021
3 Nd 0.6395 0.2789 0.0021
4 Nd 0.6395 0.2789 0.4979
5 Cd 0.9939 0.9878 0.7500
6 Cd 0.0061 0.0122 0.2500
7 Rh 0.2052 0.4103 0.2500
8 Rh 0.7948 0.5897 0.7500



Which structure loses on stability? <A> does.



<A>
A plane-wave DFT calculation with PBE was carried out for a geometry-optimized Nd2CdRh structure.

Values from the calculation:
Spin magnetization (μB per formula unit): 0.00
Symmetry: Pmma

abc: 3.6311 7.2449 7.7606
angles: 90.00 90.00 90.00
Fractional coordinates of all 8 atoms:
1 Nd 0.5000 0.5030 0.2185
2 Nd 0.5000 0.9970 0.2185
3 Nd 0.5000 0.0030 0.7815
4 Nd 0.5000 0.4970 0.7815
5 Cd 0.0000 0.7500 0.5070
6 Cd 0.0000 0.2500 0.4930
7 Rh 0.0000 0.2500 0.0212
8 Rh 0.0000 0.7500 0.9788



<B>
A plane-wave DFT calculation with PBE was carried out for a geometry-optimized Nd2CdRh structure.

Values from the calculation:
Spin magnetization (μB per formula unit): 0.00
Symmetry: R3m

abc: 4.1281 4.1281 8.3094
angles: 75.62 75.62 60.00
Fractional coordinates of all 4 atoms:
1 Nd 0.0656 0.0656 0.8033
2 Nd 0.2682 0.2682 0.1953
3 Cd 0.5006 0.5006 0.4983
4 Rh 0.6656 0.6656 0.0031



Which structure loses on stability? <B> does.